# 1
An optimized crystal structure of La2ZnIrPd. Source: Alexandria, functional PBE.

Electronic total energy: -5.706 eV/atom
V: 242.6 Å³/cell
Size of the total moment: 0.00 μB per formula unit
Formation enthalpy at 0 K: -3.349 eV per formula unit

a = 4.2142 Å, b = 4.2142 Å, c = 13.6620 Å
α = 90.00°, β = 90.00°, γ = 90.00°
Space group P4/nmm (No. 129, origin choice 2)
One atom of each set of equivalent atoms:
La (0.2500, 0.2500, 0.1071) (multiplicity 2)
La (0.2500, 0.2500, 0.6881) (multiplicity 2)
Zn (0.2500, 0.7500, 0.5000) (multiplicity 2)
Ir (0.2500, 0.2500, 0.8873) (multiplicity 2)
Pd (0.2500, 0.2500, 0.3790) (multiplicity 2)

=====

# 2
An optimized crystal structure of LaZrIrPd. Source: Alexandria, functional PBE.

Electronic total energy: -7.434 eV/atom
V: 336.2 Å³/cell
Size of the total moment: 0.00 μB per formula unit
Formation enthalpy at 0 K: -2.207 eV per formula unit

a = 6.9532 Å, b = 6.9532 Å, c = 6.9532 Å
α = 90.00°, β = 90.00°, γ = 90.00°
Space group F-43m (No. 216)
One atom of each set of equivalent atoms:
La (0.0000, 0.0000, 0.0000) (multiplicity 4)
Zr (0.0000, 0.0000, 0.5000) (multiplicity 4)
Ir (0.2500, 0.2500, 0.7500) (multiplicity 4)
Pd (0.2500, 0.2500, 0.2500) (multiplicity 4)

=====

# 3
An optimized crystal structure of La2Pm2Ir3. Source: Alexandria, functional PBE.

Electronic total energy: -7.234 eV/atom
V: 706.6 Å³/cell
Size of the total moment: 0.00 μB per formula unit
Formation enthalpy at 0 K: -4.702 eV per formula unit

a = 8.9067 Å, b = 8.9067 Å, c = 8.9067 Å
α = 90.00°, β = 90.00°, γ = 90.00°
Space group I2_13 (No. 199)
One atom of each set of equivalent atoms:
La (0.1892, 0.1892, 0.1892) (multiplicity 8)
Pm (0.0608, 0.4392, 0.5608) (multiplicity 8)
Ir (0.0000, 0.2500, 0.8607) (multiplicity 12)

=====

Repeat the third record exactly.
An optimized crystal structure of La2Pm2Ir3. Source: Alexandria, functional PBE.

Electronic total energy: -7.234 eV/atom
V: 706.6 Å³/cell
Size of the total moment: 0.00 μB per formula unit
Formation enthalpy at 0 K: -4.702 eV per formula unit

a = 8.9067 Å, b = 8.9067 Å, c = 8.9067 Å
α = 90.00°, β = 90.00°, γ = 90.00°
Space group I2_13 (No. 199)
One atom of each set of equivalent atoms:
La (0.1892, 0.1892, 0.1892) (multiplicity 8)
Pm (0.0608, 0.4392, 0.5608) (multiplicity 8)
Ir (0.0000, 0.2500, 0.8607) (multiplicity 12)

=====

Copy entry 1 word for word.
An optimized crystal structure of La2ZnIrPd. Source: Alexandria, functional PBE.

Electronic total energy: -5.706 eV/atom
V: 242.6 Å³/cell
Size of the total moment: 0.00 μB per formula unit
Formation enthalpy at 0 K: -3.349 eV per formula unit

a = 4.2142 Å, b = 4.2142 Å, c = 13.6620 Å
α = 90.00°, β = 90.00°, γ = 90.00°
Space group P4/nmm (No. 129, origin choice 2)
One atom of each set of equivalent atoms:
La (0.2500, 0.2500, 0.1071) (multiplicity 2)
La (0.2500, 0.2500, 0.6881) (multiplicity 2)
Zn (0.2500, 0.7500, 0.5000) (multiplicity 2)
Ir (0.2500, 0.2500, 0.8873) (multiplicity 2)
Pd (0.2500, 0.2500, 0.3790) (multiplicity 2)

=====

Q: electronic total energy of number 3 (La2Pm2Ir3)?
A: -7.234 eV/atom